Entry 1:
## Pa2Co9Mo (PBE)

Data for Pa2Co9Mo after structural relaxation.

Summary:
E_form: -213.1 meV per atom
final energy: -8.03 eV/atom
DOS at the Fermi energy: 0.739 states/eV/atom
size of the total moment: 3.7 μB per cell

```
data_Pa2Co9Mo
_chemical_formula_sum 'Pa2 Co9 Mo1'
_symmetry_space_group_name_H-M 'P 4/m m m'
_symmetry_Int_Tables_number 123
_symmetry_space_group_name_Hall '-P 4 2'
_cell_length_a 3.7481
_cell_length_b 3.7481
_cell_length_c 11.1431
_cell_angle_alpha 90.00
_cell_angle_beta 90.00
_cell_angle_gamma 90.00
loop_
_atom_site_label
_atom_site_type_symbol
_atom_site_fract_x
_atom_site_fract_y
_atom_site_fract_z
Pa1 Pa 0.0000 0.0000 0.1716
Co1 Co 0.0000 0.5000 0.0000
Co2 Co 0.0000 0.5000 0.3486
Co3 Co 0.5000 0.5000 0.1750
Co4 Co 0.5000 0.5000 0.5000
Mo1 Mo 0.0000 0.0000 0.5000
```

---

Entry 2:
## YTcOs3 (PBE)

Data for YTcOs3 after structural relaxation.

Summary:
E_form: 1247.0 meV per atom
final energy: -8.86 eV/atom
excess energy over the best structure of this formula in the dataset: 0 meV/atom
DOS at the Fermi energy: 1.063 states/eV/atom
size of the total moment: 0.0 μB per cell

```
data_YTcOs3
_chemical_formula_sum 'Y1 Tc1 Os3'
_symmetry_space_group_name_H-M 'P m -3 m'
_symmetry_Int_Tables_number 221
_symmetry_space_group_name_Hall '-P 4 2 3'
_cell_length_a 4.7030
_cell_length_b 4.7030
_cell_length_c 4.7030
_cell_angle_alpha 90.00
_cell_angle_beta 90.00
_cell_angle_gamma 90.00
loop_
_atom_site_label
_atom_site_type_symbol
_atom_site_fract_x
_atom_site_fract_y
_atom_site_fract_z
Y1 Y 0.0000 0.0000 0.0000
Tc1 Tc 0.5000 0.5000 0.5000
Os1 Os 0.0000 0.5000 0.5000
```

---

- Look up the size of the total moment of the second one.
  0.0 μB per cell

---

- Which formula does entry 1 have?
  Pa2Co9Mo